Entry from Alexandria via LeMat-Bulk: a relaxed structure of Fe2Sb3 (GGA-PBE).

Output
- ΔE to the lowest computed polymorph: 0.000 eV per atom
- Uncorrected energy: -5.620 eV/atom
- Space-group type: No. 164
- ΔE_f (raw): 1.191 eV/f.u.

a b c (Å): 4.2317 4.2317 7.2832
angles (deg): 90.00 90.00 120.00
Closest atoms and distances in Å follow each position.
Fractional coordinates of all 5 atoms:
Fe  0.3333  0.6667  0.4043  7 Sb 2.54-2.81, 3 Fe 2.81
Fe  0.6667  0.3333  0.5957  7 Sb 2.54-2.81, 3 Fe 2.81
Sb  0.0000  0.0000  0.5000  6 Fe 2.54
Sb  0.3333  0.6667  0.7851  4 Fe 2.77-2.81
Sb  0.6667  0.3333  0.2149  4 Fe 2.77-2.81